# 1
Compound: InGaCu2
Source: Alexandria via LeMat-Bulk
Functional: PBE
Structure: relaxed

Output
The calculation puts the magnetization at 0.00 Bohr magnetons per cell. For the energy of formation, the calculation gives 0.19 eV per atom.

Cell lengths 4.1327, 4.1327, 17.1750 Å; angles 90.00, 90.00, 90.00 degrees
Space group I-42d (No. 122)
Symmetry-distinct sites (fractional):
In 0.0000 0.0000 0.0000
Ga 0.0000 0.0000 0.5000
Cu 0.1877 0.2500 0.6250

# 2
Compound: InGaCu2
Source: Alexandria via LeMat-Bulk
Functional: PBE
Structure: relaxed

Output
The calculation puts the magnetization at 0.00 Bohr magnetons per cell. For the energy of formation, the calculation gives 0.12 eV per atom.

Cell lengths 3.0462, 3.0462, 24.6855 Å; angles 90.00, 90.00, 120.00 degrees
Space group R-3m (No. 166, hexagonal axes)
Symmetry-distinct sites (fractional):
In 0.0000 0.0000 0.0000
Ga 0.0000 0.0000 0.5000
Cu 0.0000 0.0000 0.2438

# 3
Compound: InGaCuIr
Source: Alexandria via LeMat-Bulk
Functional: PBE
Structure: relaxed

Output
The calculation puts the magnetization at 0.00 Bohr magnetons per cell. For the energy of formation, the calculation gives -0.03 eV per atom.

Cell lengths 6.3280, 6.3280, 6.3280 Å; angles 90.00, 90.00, 90.00 degrees
Space group F-43m (No. 216)
Symmetry-distinct sites (fractional):
In 0.0000 0.0000 0.0000
Ga 0.0000 0.0000 0.5000
Cu 0.2500 0.2500 0.7500
Ir 0.2500 0.2500 0.2500

# 4
Compound: KIn2GaCu
Source: Alexandria via LeMat-Bulk
Functional: PBE
Structure: relaxed

Output
The calculation puts the magnetization at 0.00 Bohr magnetons per cell. For the energy of formation, the calculation gives 0.07 eV per atom.

Cell lengths 5.2634, 5.2634, 4.9127 Å; angles 90.00, 90.00, 90.00 degrees
Space group P4/mmm (No. 123)
Symmetry-distinct sites (fractional):
K 0.0000 0.0000 0.0000
In 0.0000 0.5000 0.5000
Ga 0.5000 0.5000 0.0000
Cu 0.5000 0.5000 0.5000

# 5
Compound: La2InGa4Cu3
Source: Alexandria via LeMat-Bulk
Functional: PBE
Structure: relaxed

Output
The calculation puts the magnetization at 0.00 Bohr magnetons per cell. For the energy of formation, the calculation gives -0.46 eV per atom.

Cell lengths 4.3088, 4.3088, 10.6938 Å; angles 90.00, 90.00, 90.00 degrees
Space group P-4m2 (No. 115)
Symmetry-distinct sites (fractional):
La 0.0000 0.5000 0.2379
In 0.0000 0.0000 0.5000
Ga 0.0000 0.0000 0.0000
Ga 0.0000 0.5000 0.6518
Ga 0.5000 0.5000 0.0000
Cu 0.0000 0.5000 0.8787
Cu 0.5000 0.5000 0.5000

# 6
Compound: La2InGa3Cu4
Source: Alexandria via LeMat-Bulk
Functional: PBE
Structure: relaxed

Output
The calculation puts the magnetization at 0.00 Bohr magnetons per cell. For the energy of formation, the calculation gives -0.41 eV per atom.

Cell lengths 4.3504, 4.3504, 10.3056 Å; angles 90.00, 90.00, 90.00 degrees
Space group P-4m2 (No. 115)
Symmetry-distinct sites (fractional):
La 0.0000 0.5000 0.2349
In 0.0000 0.0000 0.5000
Ga 0.0000 0.5000 0.8788
Ga 0.5000 0.5000 0.5000
Cu 0.0000 0.0000 0.0000
Cu 0.0000 0.5000 0.6430
Cu 0.5000 0.5000 0.0000

# 7
Compound: LuInGaCu
Source: Alexandria via LeMat-Bulk
Functional: PBE
Structure: relaxed

Output
The calculation puts the magnetization at 0.00 Bohr magnetons per cell. For the energy of formation, the calculation gives -0.26 eV per atom.

Cell lengths 6.7745, 6.7745, 6.7745 Å; angles 90.00, 90.00, 90.00 degrees
Space group F-43m (No. 216)
Symmetry-distinct sites (fractional):
Lu 0.0000 0.0000 0.0000
In 0.0000 0.0000 0.5000
Ga 0.2500 0.2500 0.2500
Cu 0.2500 0.2500 0.7500

# 8
Compound: MgInGaCu
Source: Alexandria via LeMat-Bulk
Functional: PBE
Structure: relaxed

Output
The calculation puts the magnetization at 0.00 Bohr magnetons per cell. For the energy of formation, the calculation gives 0.05 eV per atom.

Cell lengths 6.7232, 6.7232, 6.7232 Å; angles 90.00, 90.00, 90.00 degrees
Space group F-43m (No. 216)
Symmetry-distinct sites (fractional):
Mg 0.0000 0.0000 0.0000
In 0.0000 0.0000 0.5000
Ga 0.2500 0.2500 0.2500
Cu 0.2500 0.2500 0.7500

- Which of these has the highest energy of formation?
  number 1